Record 1
VASP calculation (PBE) on a relaxed structure of Pm6Tl3Pb.

a b c (Å): 3.7807 12.0292 14.5692
angles (deg): 105.05 90.00 90.00
Site moments in Bohr magnetons follow the coordinates.
Sites, in units of the cell vectors:
Tl (0.7500, 0.3820, 0.8642)  0.00
Tl (0.2500, 0.6180, 0.1358)  0.00
Tl (0.7500, 0.1092, 0.0543)  0.00
Tl (0.2500, 0.3575, 0.4840)  0.00
Tl (0.7500, 0.6425, 0.5160)  0.00
Tl (0.2500, 0.8908, 0.9457)  0.00
Pb (0.2500, 0.9589, 0.3152)  0.00
Pb (0.7500, 0.0411, 0.6848)  0.00
Pm (0.7500, 0.7367, 0.3240)  0.09
Pm (0.2500, 0.4948, 0.3248)  0.02
Pm (0.7500, 0.3911, 0.0887)  0.00
Pm (0.7500, 0.8102, 0.7572)  0.02
Pm (0.2500, 0.2633, 0.6760)  0.09
Pm (0.7500, 0.5052, 0.6752)  0.02
Pm (0.2500, 0.1898, 0.2428)  0.02
Pm (0.2500, 0.1463, 0.8780)  0.03
Pm (0.7500, 0.8537, 0.1220)  0.03
Pm (0.2500, 0.8724, 0.5276)  0.16
Pm (0.7500, 0.1276, 0.4724)  0.16
Pm (0.2500, 0.6089, 0.9113)  0.00

The calculation puts the calculated density at 8.773 g cm⁻³. The calculation puts the density of states at the Fermi level at 22.87 states/eV per cell. The calculation puts the formation energy at -235 meV/atom. The uncorrected energy comes out at -4.166 eV per atom.

***

Record 2
VASP calculation (PBE) on a relaxed structure of Pa2CuRh.

a b c (Å): 4.8540 4.8540 4.8540
angles (deg): 60.00 60.00 60.00
Sites, in units of the cell vectors:
Rh (0.5000, 0.5000, 0.5000)
Pa (0.2500, 0.2500, 0.2500)
Pa (0.7500, 0.7500, 0.7500)
Cu (0.0000, 0.0000, 0.0000)

The calculation puts the calculated density at 12.906 g cm⁻³. The calculation puts the density of states at the Fermi level at 8.16 states/eV per cell. The calculation puts the formation energy at -196 meV/atom. The uncorrected energy comes out at -7.806 eV per atom.

***

Record 3
VASP calculation (PBE) on a relaxed structure of AlCr3.

a b c (Å): 2.6006 2.6006 8.5377
angles (deg): 90.00 90.00 120.00
Sites, in units of the cell vectors:
Cr (0.0000, 0.0000, 0.5000)
Cr (0.6667, 0.3333, 0.2532)
Cr (0.6667, 0.3333, 0.7468)
Al (0.0000, 0.0000, 0.0000)

The calculation puts the calculated density at 6.076 g cm⁻³. The calculation puts the density of states at the Fermi level at 5.04 states/eV per cell. The calculation puts the formation energy at 225 meV/atom. The uncorrected energy comes out at -7.928 eV per atom.

***

Record 4
VASP calculation (PBE) on a relaxed structure of La7Tb4Pr.

a b c (Å): 7.3934 9.8094 9.1404
angles (deg): 81.21 90.03 41.15
Sites, in units of the cell vectors:
La (0.5000, 0.0000, 0.0000)
La (0.2433, 0.5022, 0.9974)
La (0.7784, 0.2215, 0.3337)
La (0.2216, 0.7785, 0.6663)
La (0.0303, 0.7186, 0.3366)
La (0.9697, 0.2814, 0.6634)
La (0.7567, 0.4978, 0.0026)
Tb (0.4676, 0.2772, 0.6679)
Tb (0.7183, 0.7817, 0.6652)
Tb (0.5324, 0.7228, 0.3321)
Tb (0.2817, 0.2183, 0.3348)
Pr (0.0000, 0.0000, 0.0000)

The calculation puts the calculated density at 6.846 g cm⁻³. The calculation puts the density of states at the Fermi level at 20.26 states/eV per cell. The calculation puts the formation energy at 14 meV/atom. The uncorrected energy comes out at -4.802 eV per atom.

***

Record 5
VASP calculation (PBE) on a relaxed structure of ScCuSnPd.

a b c (Å): 4.6105 4.6105 4.6105
angles (deg): 60.00 60.00 60.00
Sites, in units of the cell vectors:
Cu (0.5000, 0.5000, 0.5000)
Pd (0.0000, 0.0000, 0.0000)
Sc (0.7500, 0.7500, 0.7500)
Sn (0.2500, 0.2500, 0.2500)

The calculation puts the calculated density at 7.995 g cm⁻³. The calculation puts the density of states at the Fermi level at 2.47 states/eV per cell. The calculation puts the formation energy at -620 meV/atom. The uncorrected energy comes out at -5.526 eV per atom.

***

Record 6
VASP calculation (PBE) on a relaxed structure of Zr2TcC2.

a b c (Å): 6.1986 6.1986 3.3316
angles (deg): 90.00 90.00 90.00
Sites, in units of the cell vectors:
C (0.3460, 0.8460, 0.0000)
C (0.8460, 0.6540, 0.0000)
C (0.6540, 0.1540, 0.0000)
C (0.1540, 0.3460, 0.0000)
Zr (0.8368, 0.3368, 0.5000)
Zr (0.3368, 0.1632, 0.5000)
Zr (0.6632, 0.8368, 0.5000)
Zr (0.1632, 0.6632, 0.5000)
Tc (0.5000, 0.5000, 0.0000)
Tc (0.0000, 0.0000, 0.0000)

The calculation puts the calculated density at 7.899 g cm⁻³. The calculation puts the density of states at the Fermi level at 5.19 states/eV per cell. The calculation puts the formation energy at -333 meV/atom. The uncorrected energy comes out at -9.515 eV per atom.

***

Record 7
VASP calculation (PBE) on a relaxed structure of TaAsPb2.

a b c (Å): 4.4750 3.9454 5.7302
angles (deg): 69.86 90.00 90.00
Sites, in units of the cell vectors:
As (0.5000, 0.5589, 0.7569)
Pb (0.5000, 0.2811, 0.3127)
Pb (0.0000, 0.9714, 0.9323)
Ta (0.0000, 0.6885, 0.4981)

The calculation puts the calculated density at 11.718 g cm⁻³. The calculation puts the density of states at the Fermi level at 2.65 states/eV per cell. The calculation puts the formation energy at 233 meV/atom. The uncorrected energy comes out at -5.746 eV per atom.

***

Record 8
VASP calculation (PBE) on a relaxed structure of Er3Pt2Rh.

a b c (Å): 4.8783 7.7126 6.8405
angles (deg): 90.00 90.00 71.56
Sites, in units of the cell vectors:
Er (0.1680, 0.6640, 0.2474)
Er (0.8320, 0.3360, 0.2474)
Er (0.5000, 0.0000, 0.2479)
Er (0.1680, 0.6640, 0.7526)
Er (0.8320, 0.3360, 0.7526)
Er (0.5000, 0.0000, 0.7521)
Rh (0.3311, 0.3378, 0.0000)
Rh (0.6689, 0.6622, 0.0000)
Pt (0.0000, 0.0000, 0.5000)
Pt (0.0000, 0.0000, 0.0000)
Pt (0.6653, 0.6694, 0.5000)
Pt (0.3347, 0.3306, 0.5000)

The calculation puts the calculated density at 13.532 g cm⁻³. The calculation puts the density of states at the Fermi level at 4.21 states/eV per cell. The calculation puts the formation energy at -1161 meV/atom. The uncorrected energy comes out at -6.681 eV per atom.